Ta2WF | GGA+U | relaxed

Output
space group	Fm-3m
density	14.1	g/cm3
relative energy among the computed polymorphs	0	meV/atom

```
4
Lattice="0.000 3.215 3.215 3.215 0.000 3.215 3.215 3.215 0.000" Properties=species:S:1:pos:R:3 pbc="T T T"
Ta 1.607 1.607 1.607
Ta 4.822 4.822 4.822
W 0.000 0.000 0.000
F 3.215 3.215 3.215
```